Entry 1:
# Rb2UMn2Se4

A geometry-optimized Rb2UMn2Se4 structure (PBE-GGA, the Alexandria database).

Lattice parameters (Å, degrees): 15.3059 4.1529 8.2729 90.00 108.08 90.00
Space group C2/m (No. 12)
Unique sites:
1 Rb 0.1337 0.0000 0.0563 (multiplicity 4)
2 U 0.0000 0.0000 0.5000 (multiplicity 2)
3 Mn 0.1724 0.5000 0.4785 (multiplicity 4)
4 Se 0.0169 0.5000 0.2643 (multiplicity 4)
5 Se 0.1991 0.0000 0.6678 (multiplicity 4)

Summary:
Raw total energy in eV per cell: -107.00
Crystal system: monoclinic



Entry 2:
# RbUMn2Se4

A geometry-optimized RbUMn2Se4 structure (PBE-GGA, the Alexandria database).

Lattice parameters (Å, degrees): 5.2555 8.8230 11.7347 90.00 90.00 90.00
Space group I222 (No. 23)
Unique sites:
1 Rb 0.0000 0.0000 0.0000 (multiplicity 2)
2 U 0.0000 0.0000 0.5000 (multiplicity 2)
3 Mn 0.0000 0.5000 0.0829 (multiplicity 4)
4 Se 0.2364 0.1907 0.3477 (multiplicity 8)

Summary:
Raw total energy in eV per cell: -95.41
Crystal system: orthorhombic



Entry 3:
# RbMnVSe3

A geometry-optimized RbMnVSe3 structure (PBE-GGA, the Alexandria database).

Lattice parameters (Å, degrees): 8.8532 3.5560 9.6150 90.00 114.25 90.00
Space group P2_1/m (No. 11)
Unique sites:
1 Rb 0.0084 0.2500 0.2588 (multiplicity 2)
2 Mn 0.4756 0.2500 0.1664 (multiplicity 2)
3 V 0.4778 0.7500 0.3930 (multiplicity 2)
4 Se 0.2673 0.7500 0.1391 (multiplicity 2)
5 Se 0.3138 0.7500 0.5578 (multiplicity 2)
6 Se 0.3573 0.2500 0.8812 (multiplicity 2)

Summary:
Raw total energy in eV per cell: -67.56
Crystal system: monoclinic